## Sb2RuBr (meta-GGA SCAN)

Data for a PBEsol-optimized structure of Sb2RuBr. Values from VASP.

Properties
Volume = 88 Å³/cell
E_tot = -31.9161 eV/atom
Energy relative to the lowest polymorph listed for this composition = 102 meV per atom
Mass density = 8008 kg/m3

Structure (Quantum ESPRESSO input):
```
&SYSTEM
  ibrav = 0, nat = 4, ntyp = 3
/
ATOMIC_SPECIES
Sb 121.76 Sb.upf
Br 79.90 Br.upf
Ru 101.07 Ru.upf
ATOMIC_POSITIONS crystal
Sb 0.1842 0.1842 0.3685
Sb 0.8158 0.8158 0.6315
Br 0.0000 0.5000 0.0000
Ru 0.5000 0.0000 0.0000
CELL_PARAMETERS angstrom
-0.9321 0.1876 -3.0089
-3.9720 -2.2006 1.0933
-0.1480 6.2625 2.0909
```

## SbRuBr2 (meta-GGA SCAN)

Data for a PBEsol-optimized structure of SbRuBr2. Values from VASP.

Properties
Volume = 105 Å³/cell
E_tot = -27.7436 eV/atom
Energy relative to the lowest polymorph listed for this composition = 0 meV per atom
Mass density = 6062 kg/m3

Structure (Quantum ESPRESSO input):
```
&SYSTEM
  ibrav = 0, nat = 4, ntyp = 3
/
ATOMIC_SPECIES
Br 79.90 Br.upf
Sb 121.76 Sb.upf
Ru 101.07 Ru.upf
ATOMIC_POSITIONS crystal
Br 0.1572 0.3145 0.6674
Sb 0.8117 0.6233 0.3564
Ru 0.5458 0.0917 0.3904
Br 0.9853 0.9705 0.0858
CELL_PARAMETERS angstrom
-1.6179 1.8464 2.3820
-3.1578 -3.3689 -1.9896
4.0216 -2.8997 4.9794
```

## SbRu2Br (meta-GGA SCAN)

Data for a PBEsol-optimized structure of SbRu2Br. Values from VASP.

Properties
Volume = 70 Å³/cell
E_tot = -31.0288 eV/atom
Energy relative to the lowest polymorph listed for this composition = 203 meV per atom
Mass density = 9547 kg/m3

Structure (Quantum ESPRESSO input):
```
&SYSTEM
  ibrav = 0, nat = 4, ntyp = 3
/
ATOMIC_SPECIES
Sb 121.76 Sb.upf
Br 79.90 Br.upf
Ru 101.07 Ru.upf
ATOMIC_POSITIONS crystal
Sb 0.5401 0.5401 0.0803
Br 0.7758 0.2758 0.5515
Ru 0.2390 0.7390 0.4780
Ru 0.9451 0.9451 0.8902
CELL_PARAMETERS angstrom
2.9902 0.0000 0.0000
0.0000 4.0583 0.0000
-1.4951 -2.0291 5.7876
```

## Sb2RuBr (meta-GGA SCAN)

Data for a PBEsol-optimized structure of Sb2RuBr. Values from VASP.

Properties
Volume = 82 Å³/cell
E_tot = -31.5557 eV/atom
Energy relative to the lowest polymorph listed for this composition = 463 meV per atom
Mass density = 8629 kg/m3

Structure (Quantum ESPRESSO input):
```
&SYSTEM
  ibrav = 0, nat = 4, ntyp = 3
/
ATOMIC_SPECIES
Br 79.90 Br.upf
Sb 121.76 Sb.upf
Ru 101.07 Ru.upf
ATOMIC_POSITIONS crystal
Br 0.5000 0.0000 0.5000
Sb 0.2500 0.5000 0.2500
Sb 0.7500 0.5000 0.7500
Ru 0.0000 0.0000 0.0000
CELL_PARAMETERS angstrom
-1.0373 -1.5269 4.2123
3.1644 -2.8129 -2.7510
4.4526 0.1306 1.1438
```

## Sb2RuBr (meta-GGA SCAN)

Data for a PBEsol-optimized structure of Sb2RuBr. Values from VASP.

Properties
Volume = 85 Å³/cell
E_tot = -31.3400 eV/atom
Energy relative to the lowest polymorph listed for this composition = 679 meV per atom
Mass density = 8294 kg/m3

Structure (Quantum ESPRESSO input):
```
&SYSTEM
  ibrav = 0, nat = 4, ntyp = 3
/
ATOMIC_SPECIES
Sb 121.76 Sb.upf
Br 79.90 Br.upf
Ru 101.07 Ru.upf
ATOMIC_POSITIONS crystal
Sb 0.5000 0.0000 0.0000
Br 0.5000 0.5000 0.5000
Ru 0.0000 0.0000 0.5000
Sb 0.0000 0.5000 0.0000
CELL_PARAMETERS angstrom
-0.6634 -3.1308 -2.6039
3.6885 0.6559 -1.7283
2.0879 -3.1533 3.2594
```

## SbRu2Br (meta-GGA SCAN)

Data for a PBEsol-optimized structure of SbRu2Br. Values from VASP.

Properties
Volume = 83 Å³/cell
E_tot = -31.2322 eV/atom
Energy relative to the lowest polymorph listed for this composition = 0 meV per atom
Mass density = 8124 kg/m3

Structure (Quantum ESPRESSO input):
```
&SYSTEM
  ibrav = 0, nat = 4, ntyp = 3
/
ATOMIC_SPECIES
Br 79.90 Br.upf
Ru 101.07 Ru.upf
Sb 121.76 Sb.upf
ATOMIC_POSITIONS crystal
Br 0.0000 0.5000 0.5000
Ru 0.6891 0.4467 0.1752
Sb 0.5000 0.0000 0.0000
Ru 0.3109 0.5533 0.8248
CELL_PARAMETERS angstrom
3.0870 0.0000 0.0000
1.5435 4.0338 -0.1724
1.5435 -0.0415 6.6297
```

## SbRuBr2 (meta-GGA SCAN)

Data for a PBEsol-optimized structure of SbRuBr2. Values from VASP.

Properties
Volume = 81 Å³/cell
E_tot = -26.8741 eV/atom
Energy relative to the lowest polymorph listed for this composition = 869 meV per atom
Mass density = 7821 kg/m3

Structure (Quantum ESPRESSO input):
```
&SYSTEM
  ibrav = 0, nat = 4, ntyp = 3
/
ATOMIC_SPECIES
Br 79.90 Br.upf
Ru 101.07 Ru.upf
Sb 121.76 Sb.upf
ATOMIC_POSITIONS crystal
Br 0.7500 0.7500 0.7500
Br 0.2500 0.2500 0.2500
Ru 0.5000 0.5000 0.5000
Sb 0.0000 0.0000 0.0000
CELL_PARAMETERS angstrom
4.8615 0.0000 0.0000
2.4308 4.2102 0.0000
2.4308 1.4034 3.9694
```

## Sb2RuBr (meta-GGA SCAN)

Data for a PBEsol-optimized structure of Sb2RuBr. Values from VASP.

Properties
Volume = 255 Å³/cell
E_tot = -32.0185 eV/atom
Energy relative to the lowest polymorph listed for this composition = 0 meV per atom
Mass density = 5530 kg/m3

Structure (Quantum ESPRESSO input):
```
&SYSTEM
  ibrav = 0, nat = 8, ntyp = 3
/
ATOMIC_SPECIES
Ru 101.07 Ru.upf
Sb 121.76 Sb.upf
Br 79.90 Br.upf
ATOMIC_POSITIONS crystal
Ru 0.2500 0.7500 0.5000
Ru 0.0000 0.0000 0.0000
Sb 0.2806 0.8750 0.2500
Sb 0.1250 0.0306 0.7500
Sb 0.6250 0.7194 0.7500
Sb 0.9694 0.3750 0.2500
Br 0.5000 0.5000 0.0000
Br 0.7500 0.2500 0.5000
CELL_PARAMETERS angstrom
-1.2951 6.0317 -1.4299
-2.1638 0.9290 5.8786
7.5610 -1.7829 -0.3461
```

## Sb4RuBr (meta-GGA SCAN)

Data for a PBEsol-optimized structure of Sb4RuBr. Values from VASP.

Properties
Volume = 156 Å³/cell
E_tot = -33.0460 eV/atom
Mass density = 7107 kg/m3

Structure (Quantum ESPRESSO input):
```
&SYSTEM
  ibrav = 0, nat = 6, ntyp = 3
/
ATOMIC_SPECIES
Sb 121.76 Sb.upf
Br 79.90 Br.upf
Ru 101.07 Ru.upf
ATOMIC_POSITIONS crystal
Sb 0.3765 0.8705 0.3765
Br 0.7500 0.7500 0.7500
Sb 0.3765 0.3765 0.8705
Sb 0.3765 0.3765 0.3765
Sb 0.8705 0.3765 0.3765
Ru 0.0000 0.0000 0.0000
CELL_PARAMETERS angstrom
-0.4406 1.2017 5.9065
1.8452 -4.0793 4.0595
4.9879 1.0200 3.2565
```

## SbRuSeBr2 (meta-GGA SCAN)

Data for a PBEsol-optimized structure of SbRuSeBr2. Values from VASP.

Properties
Volume = 116 Å³/cell
E_tot = -25.8908 eV/atom
Energy relative to the lowest polymorph listed for this composition = 0 meV per atom
Mass density = 6604 kg/m3

Structure (Quantum ESPRESSO input):
```
&SYSTEM
  ibrav = 0, nat = 5, ntyp = 4
/
ATOMIC_SPECIES
Se 78.96 Se.upf
Br 79.90 Br.upf
Sb 121.76 Sb.upf
Ru 101.07 Ru.upf
ATOMIC_POSITIONS crystal
Se 0.5000 0.0000 0.0000
Br 0.0000 0.0000 0.5000
Br 0.0000 0.5000 0.0000
Sb 0.5000 0.5000 0.5000
Ru 0.0000 0.0000 0.0000
CELL_PARAMETERS angstrom
4.7813 0.0000 0.0000
0.0000 4.9270 0.0000
0.0000 0.0000 4.9270
```

## Zr2SbRuBr (meta-GGA SCAN)

Data for a PBEsol-optimized structure of Zr2SbRuBr. Values from VASP.

Properties
Volume = 108 Å³/cell
E_tot = -30.1766 eV/atom
Mass density = 7426 kg/m3

Structure (Quantum ESPRESSO input):
```
&SYSTEM
  ibrav = 0, nat = 5, ntyp = 4
/
ATOMIC_SPECIES
Br 79.90 Br.upf
Sb 121.76 Sb.upf
Zr 91.22 Zr.upf
Ru 101.07 Ru.upf
ATOMIC_POSITIONS crystal
Br 0.0000 0.0000 0.0000
Sb 0.5000 0.5000 0.5000
Zr 0.0000 0.0000 0.5000
Zr 0.0000 0.5000 0.0000
Ru 0.5000 0.0000 0.0000
CELL_PARAMETERS angstrom
4.5097 0.0000 0.0000
0.0000 4.9049 0.0000
0.0000 0.0000 4.9049
```

## Sc19Ru4Br28 (meta-GGA SCAN)

Data for a PBEsol-optimized structure of Sc19Ru4Br28. Values from VASP.

Properties
Volume = 1303 Å³/cell
E_tot = -20.3016 eV/atom
Mass density = 4456 kg/m3

Structure (Quantum ESPRESSO input):
```
&SYSTEM
  ibrav = 0, nat = 51, ntyp = 3
/
ATOMIC_SPECIES
Br 79.90 Br.upf
Sc 44.96 Sc.upf
Ru 101.07 Ru.upf
ATOMIC_POSITIONS crystal
Br 0.1285 0.5997 0.1285
Br 0.6052 0.8726 0.8726
Br 0.1248 0.8678 0.3966
Br 0.3687 0.6342 0.8740
Br 0.6342 0.8740 0.3687
Br 0.8740 0.6342 0.3687
Sc 0.6713 0.8856 0.1175
Br 0.3549 0.1078 0.3549
Ru 0.0956 0.0956 0.0956
Sc 0.8856 0.1175 0.6713
Sc 0.6713 0.1175 0.8856
Br 0.8726 0.6052 0.8726
Br 0.6360 0.1335 0.6360
Ru 0.9000 0.0989 0.9000
Br 0.3549 0.3549 0.1078
Br 0.8726 0.8726 0.6052
Sc 0.8856 0.6713 0.1175
Br 0.3831 0.3831 0.6340
Br 0.1078 0.3549 0.3549
Br 0.1285 0.1285 0.5997
Sc 0.8643 0.8643 0.8643
Br 0.1335 0.6360 0.6360
Br 0.6340 0.3831 0.3831
Sc 0.8840 0.3283 0.8840
Sc 0.1175 0.6713 0.8856
Br 0.1248 0.3966 0.8678
Sc 0.8603 0.1357 0.1357
Sc 0.6230 0.6230 0.3849
Br 0.6360 0.6360 0.1335
Ru 0.9000 0.9000 0.0989
Sc 0.1357 0.8603 0.1357
Sc 0.3262 0.1151 0.1151
Br 0.8678 0.1248 0.3966
Br 0.3687 0.8740 0.6342
Br 0.3966 0.1248 0.8678
Sc 0.6230 0.3849 0.6230
Br 0.3831 0.6340 0.3831
Br 0.8740 0.3687 0.6342
Sc 0.1151 0.3262 0.1151
Br 0.8678 0.3966 0.1248
Sc 0.1151 0.1151 0.3262
Sc 0.3283 0.8840 0.8840
Sc 0.1175 0.8856 0.6713
Sc 0.8840 0.8840 0.3283
Br 0.3966 0.8678 0.1248
Br 0.5997 0.1285 0.1285
Br 0.6322 0.6322 0.6322
Ru 0.0989 0.9000 0.9000
Sc 0.1357 0.1357 0.8603
Br 0.6342 0.3687 0.8740
Sc 0.3849 0.6230 0.6230
CELL_PARAMETERS angstrom
10.9223 0.0134 0.0132
0.1494 10.9213 0.0132
0.1494 0.1475 10.9203
```

## Sc2RuBr (meta-GGA SCAN)

Data for a PBEsol-optimized structure of Sc2RuBr. Values from VASP.

Properties
Volume = 82 Å³/cell
E_tot = -20.8054 eV/atom
Mass density = 5514 kg/m3

Structure (Quantum ESPRESSO input):
```
&SYSTEM
  ibrav = 0, nat = 4, ntyp = 3
/
ATOMIC_SPECIES
Sc 44.96 Sc.upf
Br 79.90 Br.upf
Ru 101.07 Ru.upf
ATOMIC_POSITIONS crystal
Sc 0.0000 0.0000 0.0301
Br 0.0000 0.0000 0.5138
Ru 0.5000 0.5000 0.2228
Sc 0.5000 0.5000 0.7332
CELL_PARAMETERS angstrom
3.1461 -0.0286 0.0000
-1.1727 2.9196 0.0000
0.0000 0.0000 8.9139
```

## RuSeBr3 (meta-GGA SCAN)

Data for a PBEsol-optimized structure of RuSeBr3. Values from VASP.

Properties
Volume = 143 Å³/cell
E_tot = -21.8131 eV/atom
Mass density = 4889 kg/m3

Structure (Quantum ESPRESSO input):
```
&SYSTEM
  ibrav = 0, nat = 5, ntyp = 3
/
ATOMIC_SPECIES
Br 79.90 Br.upf
Ru 101.07 Ru.upf
Se 78.96 Se.upf
ATOMIC_POSITIONS crystal
Br 0.0000 0.5000 0.0000
Ru 0.5000 0.5000 0.5000
Se 0.0000 0.0000 0.0000
Br 0.0000 0.0000 0.5000
Br 0.5000 0.0000 0.0000
CELL_PARAMETERS angstrom
-2.4949 -0.6044 -4.5499
-3.3668 -3.2788 2.2817
-3.1196 4.0219 1.1764
```

no.,magnetic moment (Bohr magnetons per cell)
1,0.00
2,0.00
3,0.00
4,0.91
5,0.00
6,0.00
7,1.87
8,0.00
9,2.79
10,0.00
11,0.85
12,0.85
13,0.01
14,2.99